First-principles (PBE) data for a geometry-optimized Sr3Ga3Ir2 structure, as listed in Alexandria via LeMat-Bulk.

a = 4.351 Å, b = 6.215 Å, c = 15.663 Å
α = 90.00°, β = 90.00°, γ = 110.49°
Atoms (fractional coordinates):
Sr 0.933 0.867 0.395
Sr 0.067 0.133 0.895
Sr 0.933 0.867 0.105
Sr 0.067 0.133 0.605
Sr 0.635 0.269 0.250
Sr 0.365 0.731 0.750
Ga 0.663 0.327 0.463
Ga 0.337 0.673 0.963
Ga 0.663 0.327 0.037
Ga 0.337 0.673 0.537
Ga 0.330 0.659 0.250
Ga 0.670 0.341 0.750
Ir 0.777 0.554 0.892
Ir 0.223 0.446 0.392
Ir 0.777 0.554 0.608
Ir 0.223 0.446 0.108

Properties
The density of states at the Fermi level comes out at 5.4 states/eV/f.u. As for the symmetry: Cmcm, No. 63. The value obtained for the magnetic moment is 0.00 μB/cell. The calculation puts the total energy at -4.49 eV/atom.

---

First-principles (PBE) data for a geometry-optimized Na2Ce2US6 structure, as listed in Alexandria via LeMat-Bulk.

a = 7.082 Å, b = 7.082 Å, c = 7.062 Å
α = 99.62°, β = 99.62°, γ = 119.56°
Last column: magnetic moment on the atom in μB.
Atoms (fractional coordinates):
Na 0.832 0.168 0.000  0.00
Na 0.168 0.832 0.000  0.00
Ce 0.335 0.665 0.500  0.84
Ce 0.665 0.335 0.500  0.84
U 0.000 0.000 0.500  2.18
S 0.757 0.757 0.723  -0.04
S 0.068 0.397 0.722  -0.04
S 0.243 0.243 0.277  -0.04
S 0.397 0.068 0.722  -0.04
S 0.932 0.603 0.278  -0.04
S 0.603 0.932 0.278  -0.04

Properties
The density of states at the Fermi level comes out at 17.3 states/eV/f.u. As for the symmetry: C2/m, No. 12. For the energy relative to the elements, uncorrected, the calculation gives -1.63 eV/atom. The value obtained for the magnetic moment is 4.00 μB/cell.

---

First-principles (PBE) data for a geometry-optimized SmLu2Pu structure, as listed in Alexandria via LeMat-Bulk.

a = 3.482 Å, b = 3.482 Å, c = 9.832 Å
α = 90.00°, β = 90.00°, γ = 90.00°
Last column: magnetic moment on the atom in μB.
Atoms (fractional coordinates):
Lu 0.000 0.000 0.759  -0.18
Lu 0.000 0.000 0.241  -0.18
Sm 0.500 0.500 0.500  0.01
Pu 0.500 0.500 0.000  -5.56

Properties
The density of states at the Fermi level comes out at 10.1 states/eV/f.u. As for the symmetry: P4/mmm, No. 123. The value obtained for the magnetic moment is 6.49 μB/cell. The calculation puts the total energy at -6.93 eV/atom.

---

First-principles (PBE) data for a geometry-optimized Dy2AgPt structure, as listed in Alexandria via LeMat-Bulk.

a = 4.107 Å, b = 4.107 Å, c = 7.467 Å
α = 74.04°, β = 74.04°, γ = 60.00°
Atoms (fractional coordinates):
Dy 0.072 0.072 0.783
Dy 0.261 0.261 0.218
Ag 0.502 0.502 0.495
Pt 0.665 0.665 0.004

Properties
The density of states at the Fermi level comes out at 2.5 states/eV/f.u. As for the symmetry: R3m, No. 160. The value obtained for the magnetic moment is 0.00 μB/cell. The calculation puts the total energy at -5.21 eV/atom.

---

First-principles (PBE) data for a geometry-optimized Rb2Zn2HgBr6 structure, as listed in Alexandria via LeMat-Bulk.

a = 9.234 Å, b = 7.784 Å, c = 9.048 Å
α = 109.15°, β = 105.37°, γ = 47.87°
Atoms (fractional coordinates):
Rb 0.778 0.473 0.734
Rb 0.222 0.527 0.266
Zn 0.136 0.762 0.857
Zn 0.864 0.238 0.143
Hg 0.500 0.000 0.500
Br 0.228 0.903 0.130
Br 0.799 0.592 0.150
Br 0.255 0.786 0.665
Br 0.201 0.408 0.850
Br 0.745 0.214 0.335
Br 0.772 0.097 0.870

Properties
The density of states at the Fermi level comes out at 0.0 states/eV/f.u. As for the symmetry: P-1, No. 2. For the energy relative to the elements, uncorrected, the calculation gives -1.12 eV/atom. The value obtained for the magnetic moment is 0.00 μB/cell.

---

First-principles (PBE) data for a geometry-optimized Pr2GaSi3Pd4 structure, as listed in Alexandria via LeMat-Bulk.

a = 4.294 Å, b = 4.294 Å, c = 10.043 Å
α = 90.00°, β = 90.00°, γ = 90.00°
Atoms (fractional coordinates):
Pr 0.500 0.000 0.253
Pr 0.000 0.500 0.747
Ga 0.500 0.500 0.500
Si 0.000 0.000 0.500
Si 0.500 0.000 0.874
Si 0.000 0.500 0.126
Pd 0.500 0.500 0.000
Pd 0.000 0.000 0.000
Pd 0.500 0.000 0.632
Pd 0.000 0.500 0.368

Properties
The density of states at the Fermi level comes out at 4.9 states/eV/f.u. As for the symmetry: P-4m2, No. 115. For the energy relative to the elements, uncorrected, the calculation gives -0.89 eV/atom. The value obtained for the magnetic moment is 0.00 μB/cell.